[1]
Computed, not measured: an optimized crystal structure of Y2NiTe at the GGA-PBE level of DFT.

total moment: 0.0 Bohr magnetons per cell
volume: 107.53 Å³/cell
E: -24.36 eV per cell
formation energy (no corrections): -0.626 eV per atom
mass density: 5.62 g/cm3

The structure in CIF format:
```
data_Y2NiTe
_cell_length_a 4.122
_cell_length_b 4.122
_cell_length_c 6.329
_cell_angle_alpha 90.00
_cell_angle_beta 90.00
_cell_angle_gamma 90.00
_space_group_name_H-M_alt 'P 4 m m'
_space_group_IT_number 99
loop_
_space_group_symop_operation_xyz
'x,y,z'
'-y,x,z'
'-x,-y,z'
'y,-x,z'
'-x,y,z'
'y,x,z'
'x,-y,z'
'-y,-x,z'
loop_
_atom_site_label
_atom_site_fract_x
_atom_site_fract_y
_atom_site_fract_z
_atom_site_occupancy
Y1 0.000 0.000 0.000 1
Y2 0.500 0.500 0.379 1
Ni1 0.000 0.000 0.405 1
Te1 0.500 0.500 0.862 1
```

***

[2]
Computed, not measured: an optimized crystal structure of Dy2ScAl at the GGA-PBE level of DFT.

energy above the lowest structure with this stoichiometry: 0.00 eV per formula unit
total moment: 0.0 Bohr magnetons per cell
volume: 205.77 Å³/cell
E: -40.23 eV per cell
mass density: 6.41 g/cm3

The structure in CIF format:
```
data_Dy2ScAl
_cell_length_a 6.405
_cell_length_b 4.963
_cell_length_c 6.719
_cell_angle_alpha 90.00
_cell_angle_beta 105.53
_cell_angle_gamma 90.00
_space_group_name_H-M_alt 'P 1 21/m 1'
_space_group_IT_number 11
loop_
_space_group_symop_operation_xyz
'x,y,z'
'-x,-y,-z'
'-x,y+1/2,-z'
'x,-y+1/2,z'
loop_
_atom_site_label
_atom_site_fract_x
_atom_site_fract_y
_atom_site_fract_z
_atom_site_occupancy
Dy1 0.157 0.250 0.414 1
Dy2 0.178 0.250 0.915 1
Sc1 0.383 0.750 0.227 1
Al1 0.373 0.750 0.711 1
```

***

[3]
Computed, not measured: an optimized crystal structure of Ca2AsW at the GGA-PBE level of DFT.

total moment: 1.3 Bohr magnetons per cell
volume: 191.32 Å³/cell
E: -42.11 eV per cell
mass density: 5.88 g/cm3

The structure in CIF format:
```
data_Ca2AsW
_cell_length_a 11.339
_cell_length_b 3.423
_cell_length_c 5.322
_cell_angle_alpha 90.00
_cell_angle_beta 112.13
_cell_angle_gamma 90.00
_space_group_name_H-M_alt 'C 1 m 1'
_space_group_IT_number 8
loop_
_space_group_symop_operation_xyz
'x,y,z'
'x,-y,z'
'x+1/2,y+1/2,z'
'x+1/2,-y+1/2,z'
loop_
_atom_site_label
_atom_site_fract_x
_atom_site_fract_y
_atom_site_fract_z
_atom_site_occupancy
Ca1 0.000 0.000 0.000 1
Ca2 0.193 0.000 0.650 1
As1 0.244 0.500 0.183 1
W1 0.408 0.000 0.415 1
```

***

[4]
Computed, not measured: an optimized crystal structure of Ac4Pr2Nd5 at the GGA-PBE level of DFT.

total moment: 0.0 Bohr magnetons per cell
volume: 875.24 Å³/cell
E: -95.77 eV per cell
mass density: 7.25 g/cm3

The structure in CIF format:
```
data_Ac4Pr2Nd5
_cell_length_a 24.252
_cell_length_b 3.755
_cell_length_c 10.109
_cell_angle_alpha 90.00
_cell_angle_beta 108.06
_cell_angle_gamma 90.00
_space_group_name_H-M_alt 'C 1 2/m 1'
_space_group_IT_number 12
loop_
_space_group_symop_operation_xyz
'x,y,z'
'-x,-y,-z'
'-x,y,-z'
'x,-y,z'
'x+1/2,y+1/2,z'
'-x+1/2,-y+1/2,-z'
'-x+1/2,y+1/2,-z'
'x+1/2,-y+1/2,z'
loop_
_atom_site_label
_atom_site_fract_x
_atom_site_fract_y
_atom_site_fract_z
_atom_site_occupancy
Ac1 0.043 0.000 0.198 1
Ac2 0.108 0.500 0.911 1
Pr1 0.235 0.000 0.858 1
Nd1 0.000 0.500 0.500 1
Nd2 0.132 0.000 0.573 1
Nd3 0.210 0.000 0.348 1
```

***

[5]
Computed, not measured: an optimized crystal structure of Ge3PtF at the GGA-PBE level of DFT.

energy above the lowest structure with this stoichiometry: 0.10 eV per formula unit
total moment: 0.0 Bohr magnetons per cell
volume: 119.21 Å³/cell
E: -21.51 eV per cell
formation energy (no corrections): 0.052 eV per atom
mass density: 6.02 g/cm3

The structure in CIF format:
```
data_Ge3PtF
_cell_length_a 4.922
_cell_length_b 4.922
_cell_length_c 4.922
_cell_angle_alpha 90.00
_cell_angle_beta 90.00
_cell_angle_gamma 90.00
_space_group_name_H-M_alt 'P m -3 m'
_space_group_IT_number 221
_space_group_name_Hall '-P 4 2 3'
loop_
_atom_site_label
_atom_site_fract_x
_atom_site_fract_y
_atom_site_fract_z
_atom_site_occupancy
Ge1 0.000 0.000 0.500 1
Pt1 0.000 0.000 0.000 1
F1 0.500 0.500 0.500 1
```

***

[6]
Computed, not measured: an optimized crystal structure of Ti6ZnPt12 at the GGA-PBE level of DFT.

total moment: 0.0 Bohr magnetons per cell
volume: 936.73 Å³/cell
E: -407.41 eV per cell
mass density: 14.32 g/cm3

The structure in CIF format:
```
data_Ti6ZnPt12
_cell_length_a 11.4611
_cell_length_b 11.4611
_cell_length_c 8.2344
_cell_angle_alpha 90.00
_cell_angle_beta 90.00
_cell_angle_gamma 120.00
_space_group_name_H-M_alt 'R -3'
_space_group_IT_number 148
_space_group_name_Hall '-R 3'
loop_
_atom_site_label
_atom_site_fract_x
_atom_site_fract_y
_atom_site_fract_z
_atom_site_occupancy
Ti1 0.0439 0.8269 0.2499 1
Zn1 0.0000 0.0000 0.5000 1
Pt1 0.0435 0.8064 0.5759 1
Pt2 0.0603 0.8305 0.9213 1
```

***

[7]
Computed, not measured: an optimized crystal structure of Nb3HgW at the GGA-PBE level of DFT.

energy above the lowest structure with this stoichiometry: 0.00 eV per formula unit
total moment: 0.0 Bohr magnetons per cell
volume: 116.64 Å³/cell
E: -37.18 eV per cell
mass density: 9.44 g/cm3

The structure in CIF format:
```
data_Nb3HgW
_cell_length_a 4.886
_cell_length_b 4.886
_cell_length_c 4.886
_cell_angle_alpha 90.00
_cell_angle_beta 90.00
_cell_angle_gamma 90.00
_space_group_name_H-M_alt 'P m -3 m'
_space_group_IT_number 221
_space_group_name_Hall '-P 4 2 3'
loop_
_atom_site_label
_atom_site_fract_x
_atom_site_fract_y
_atom_site_fract_z
_atom_site_occupancy
Nb1 0.000 0.000 0.500 1
Hg1 0.500 0.500 0.500 1
W1 0.000 0.000 0.000 1
```

***

[8]
Computed, not measured: an optimized crystal structure of Tb12Sm2Th at the GGA-PBE level of DFT.

total moment: 0.0 Bohr magnetons per cell
volume: 1986.76 Å³/cell
E: -279.22 eV per cell
mass density: 8.16 g/cm3

The structure in CIF format:
```
data_Tb12Sm2Th
_cell_length_a 7.014
_cell_length_b 11.431
_cell_length_c 24.781
_cell_angle_alpha 90.00
_cell_angle_beta 90.00
_cell_angle_gamma 90.00
_space_group_name_H-M_alt 'C m m e'
_space_group_IT_number 67
_space_group_name_Hall '-C 2a 2'
loop_
_atom_site_label
_atom_site_fract_x
_atom_site_fract_y
_atom_site_fract_z
_atom_site_occupancy
Tb1 0.000 0.001 0.076 1
Tb2 0.000 0.015 0.561 1
Tb3 0.238 0.250 0.415 1
Tb4 0.249 0.250 0.874 1
Tb5 0.250 0.000 0.199 1
Tb6 0.250 0.000 0.327 1
Sm1 0.000 0.250 0.266 1
Sm2 0.000 0.250 0.729 1
Th1 0.000 0.250 0.000 1
```

***

[9]
Computed, not measured: an optimized crystal structure of DyTaTiIr2 at the GGA-PBE level of DFT.

total moment: 0.0 Bohr magnetons per cell
volume: 200.23 Å³/cell
E: -91.47 eV per cell
mass density: 12.87 g/cm3

The structure in CIF format:
```
data_DyTaTiIr2
_cell_length_a 4.343
_cell_length_b 4.343
_cell_length_c 10.614
_cell_angle_alpha 90.00
_cell_angle_beta 90.00
_cell_angle_gamma 90.00
_space_group_name_H-M_alt 'I -4 m 2'
_space_group_IT_number 119
_space_group_name_Hall 'I -4 -2'
loop_
_atom_site_label
_atom_site_fract_x
_atom_site_fract_y
_atom_site_fract_z
_atom_site_occupancy
Dy1 0.000 0.000 0.000 1
Ta1 0.000 0.500 0.250 1
Ti1 0.000 0.500 0.750 1
Ir1 0.000 0.000 0.378 1
```

***

[10]
Computed, not measured: an optimized crystal structure of AcMgCo at the GGA-PBE level of DFT.

energy above the lowest structure with this stoichiometry: 0.58 eV per formula unit
total moment: 0.0 Bohr magnetons per cell
volume: 75.09 Å³/cell
E: -12.30 eV per cell
mass density: 6.86 g/cm3

The structure in CIF format:
```
data_AcMgCo
_cell_length_a 4.4773
_cell_length_b 4.4773
_cell_length_c 4.3250
_cell_angle_alpha 90.00
_cell_angle_beta 90.00
_cell_angle_gamma 120.00
_space_group_name_H-M_alt 'P -6 m 2'
_space_group_IT_number 187
_space_group_name_Hall 'P -6 2'
loop_
_atom_site_label
_atom_site_fract_x
_atom_site_fract_y
_atom_site_fract_z
_atom_site_occupancy
Ac1 0.0000 0.0000 0.0000 1
Mg1 0.6667 0.3333 0.5000 1
Co1 0.3333 0.6667 0.5000 1
```